Here is a relaxed CuAgAs2Se crystal from Alexandria via LeMat-Bulk. Energies are from PBEsol.

## Properties
**Space-group type**: P4/mmm, No. 123
**Spin magnetization**: 0.006 μB/f.u.
**Formation energy from raw total energies**: 1136.8 meV/atom

Cell: 4.8749 4.8749 5.0150 Å, 90.00 90.00 90.00°
With the nearest neighbours (Å) after each atom.
Element x y z (fractional)
Cu  0.0000  0.0000  0.0000  4 Se 3.45, 8 As 3.50
Ag  0.5000  0.5000  0.5000  4 As 2.44, 2 Se 2.51
As  0.0000  0.5000  0.5000  2 Ag 2.44
As  0.5000  0.0000  0.5000  2 Ag 2.44
Se  0.5000  0.5000  0.0000  2 Ag 2.51